TcP3, single point on PBEsol structure, DFT SCAN; calculated formation energy = 0.153 eV per atom; space group = P2/m
1.0
3.2300 0.0000 0.0000
0.0000 4.5069 0.0000
-0.6227 0.0000 3.9064
Tc P
1 3
Cartesian
0.0000 0.0000 0.0000
0.1944 2.2534 3.1441
1.3037 0.0000 1.9532
2.4129 2.2534 0.7623

=====

TaCuSe3, single point on PBEsol structure, DFT SCAN; ΔE_f (raw) = 0.80 eV per atom; space group = Pm-3m
1.0
4.6033 0.0000 0.0000
0.0000 4.6033 0.0000
0.0000 0.0000 4.6033
Ta Cu Se
1 1 3
Cartesian
0.0000 0.0000 0.0000
2.3017 2.3017 2.3017
0.0000 2.3017 2.3017
2.3017 0.0000 2.3017
2.3017 2.3017 0.0000

=====

LiZnHg2, single point on PBEsol structure, DFT SCAN; calculated formation energy = -0.120 eV per atom; space group = F-43m
1.0
0.0000 3.3139 3.3139
3.3139 0.0000 3.3139
3.3139 3.3139 0.0000
Li Zn Hg
1 1 2
Cartesian
0.0000 0.0000 0.0000
1.6570 1.6570 1.6570
3.3139 3.3139 3.3139
4.9709 4.9709 4.9709

=====

HgMoAs2, single point on PBEsol structure, DFT SCAN; calculated formation energy = 0.573 eV per atom; space group = P4/mmm
1.0
4.5339 0.0000 0.0000
0.0000 4.5339 0.0000
0.0000 0.0000 3.3478
Hg Mo As
1 1 2
Cartesian
0.0000 0.0000 0.0000
2.2670 2.2670 0.0000
0.0000 2.2670 1.6739
2.2670 0.0000 1.6739

=====

CdSiN2, single point on PBEsol structure, DFT SCAN; ΔE_f (raw) = -0.70 eV per atom; space group = Pbca
1.0
5.2647 0.0000 0.0000
0.0000 10.5341 0.0000
0.0000 0.0000 13.7385
Cd Si N
16 16 32
Cartesian
1.0985 2.5513 2.5874
1.0985 2.7158 9.4566
1.1922 0.2319 0.8410
1.1922 5.0351 7.7103
1.4401 5.4990 0.8410
1.4401 10.3022 7.7103
1.5338 7.8184 2.5874
1.5338 7.9829 9.4566
3.7309 2.5513 4.2819
3.7309 2.7158 11.1511
3.8246 0.2319 6.0283
3.8246 5.0351 12.8975
4.0725 5.4990 6.0283
4.0725 10.3022 12.8975
4.1662 7.8184 4.2819
4.1662 7.9829 11.1511
0.9945 5.5014 11.1639
0.9945 10.2998 4.2946
1.1212 2.3430 6.0206
1.1212 2.9240 12.8899
1.5112 7.6101 6.0206
1.5112 8.1911 12.8899
1.6379 0.2343 11.1639
1.6379 5.0328 4.2946
3.6268 5.5014 9.4439
3.6268 10.2998 2.5746
3.7536 2.3430 0.8486
3.7536 2.9240 7.7179
4.1435 7.6101 0.8486
4.1435 8.1911 7.7179
4.2703 0.2343 9.4439
4.2703 5.0328 2.5746
0.6053 7.7083 0.5549
0.6053 8.0929 7.4241
0.6653 5.4597 2.9144
0.6653 10.3415 9.7836
1.0623 7.2287 11.4958
1.0623 8.5725 4.6265
1.0995 5.9356 5.6902
1.0995 9.8656 12.5594
1.5329 0.6685 5.6902
1.5329 4.5985 12.5594
1.5701 1.9616 11.4958
1.5701 3.3055 4.6265
1.9671 0.1926 2.9144
1.9671 5.0744 9.7836
2.0270 2.4412 0.5549
2.0270 2.8259 7.4241
3.2377 7.7083 6.3144
3.2377 8.0929 13.1837
3.2976 5.4597 3.9549
3.2976 10.3415 10.8242
3.6947 7.2287 9.1120
3.6947 8.5725 2.2427
3.7318 5.9356 1.1791
3.7318 9.8656 8.0484
4.1652 0.6685 1.1791
4.1652 4.5985 8.0484
4.2024 1.9616 9.1120
4.2024 3.3055 2.2427
4.5994 0.1926 3.9549
4.5994 5.0744 10.8242
4.6594 2.4412 6.3144
4.6594 2.8259 13.1837

=====

MgScMn2, single point on PBEsol structure, DFT SCAN; calculated formation energy = 0.114 eV per atom; space group = R-3m
1.0
1.4680 0.8475 9.0354
-1.4680 0.8475 9.0354
0.0000 -1.6951 9.0354
Mg Sc Mn
1 1 2
Cartesian
0.0000 0.0000 0.0000
0.0000 0.0000 13.5531
0.0000 0.0000 6.7181
0.0000 0.0000 20.3880

=====

NbNiP2Cl, single point on PBEsol structure, DFT SCAN; ΔE_f (raw) = 0.51 eV per atom; space group = P4/mmm
1.0
4.3290 0.0000 0.0000
0.0000 4.3290 0.0000
0.0000 0.0000 4.3720
Nb Ni P Cl
1 1 2 1
Cartesian
0.0000 0.0000 0.0000
2.1645 2.1645 2.1860
0.0000 2.1645 2.1860
2.1645 0.0000 2.1860
2.1645 2.1645 0.0000

=====

Cd5Au3, single point on PBEsol structure, DFT SCAN; calculated formation energy = -0.245 eV per atom; space group = I4/mcm
1.0
-5.3340 5.3340 2.6849
5.3340 -5.3340 2.6849
5.3340 5.3340 -2.6849
Cd Au
10 6
Cartesian
8.2572 0.8333 0.0000
0.8333 2.4108 0.0000
5.3340 0.0000 1.3424
6.1673 2.9232 0.0000
2.9232 4.5007 0.0000
2.4108 0.8333 2.6849
-0.8333 2.4108 2.6849
0.0000 5.3340 1.3424
4.5007 2.9232 2.6849
-2.9232 4.5007 2.6849
3.5577 1.7763 0.0000
0.0000 0.0000 1.3424
3.5577 -1.7763 2.6849
1.7763 7.1103 0.0000
0.0000 0.0000 4.0273
1.7763 3.5577 2.6849

=====

ZrNbFe4, single point on PBEsol structure, DFT SCAN; calculated formation energy = -0.094 eV per atom; space group = P-3m1
1.0
4.7722 0.0000 0.0000
-2.3861 4.1329 0.0000
0.0000 0.0000 7.9048
Zr Nb Fe
2 2 8
Cartesian
0.0000 2.7553 0.5475
2.3861 1.3776 7.3573
0.0000 2.7553 3.4899
2.3861 1.3776 4.4148
0.0000 0.0000 0.0000
0.0000 0.0000 3.9524
0.0000 1.3916 5.8806
-1.1809 3.4371 5.8806
1.2052 0.6958 2.0242
1.1809 3.4371 5.8806
3.5670 0.6958 2.0242
2.3861 2.7412 2.0242

=====

Ga2SbPRu, single point on PBEsol structure, DFT SCAN; ΔE_f (raw) = 0.99 eV per atom; space group = P4/mmm
1.0
4.4918 0.0000 0.0000
0.0000 4.4918 0.0000
0.0000 0.0000 5.1429
Ga Sb P Ru
2 1 1 1
Cartesian
0.0000 2.2459 0.0000
2.2459 0.0000 0.0000
0.0000 0.0000 2.5715
0.0000 0.0000 0.0000
2.2459 2.2459 2.5715

=====

BeRe2P, single point on PBEsol structure, DFT SCAN; calculated formation energy = -0.292 eV per atom; space group = P4mm
1.0
2.9490 0.0000 0.0000
0.0000 2.9490 0.0000
0.0000 0.0000 5.5059
Be Re P
1 2 1
Cartesian
0.0000 0.0000 0.0000
0.0000 0.0000 2.5129
1.4745 1.4745 4.2963
1.4745 1.4745 1.1915

=====

SrBeN2, single point on PBEsol structure, DFT SCAN; ΔE_f (raw) = -0.05 eV per atom; space group = R-3m
1.0
1.9326 1.1158 5.6343
-1.9326 1.1158 5.6343
0.0000 -2.2316 5.6343
Sr Be N
1 1 2
Cartesian
0.0000 0.0000 0.0000
0.0000 0.0000 8.4515
0.0000 0.0000 6.9226
0.0000 0.0000 9.9804

=====

SrCr2Tc2, single point on PBEsol structure, DFT SCAN; calculated formation energy = 0.427 eV per atom; space group = I4/mmm
1.0
-2.0610 2.0610 5.1564
2.0610 -2.0610 5.1564
2.0610 2.0610 -5.1564
Sr Cr Tc
1 2 2
Cartesian
0.0000 0.0000 0.0000
2.0610 0.0000 2.5782
0.0000 2.0610 2.5782
0.0000 0.0000 3.7888
0.0000 0.0000 6.5240

=====

The records above yield M_tot values of 0.000 1.576 0.000 0.002 0.000 6.558 1.294 0.000 3.767 1.994 0.000 2.000 0.001 μB per formula unit, respectively.